one | Density functional theory data (GGA+U) for Ca2AgWO6 after structural relaxation.

* M_tot: 0.09 μB per atom
* SG: No. 1

Lattice parameters (Å, degrees): 5.8054 6.0205 7.9759 93.16 131.19 121.72
Closest atoms and distances in Å follow each position.
Element x y z (fractional)
Ca  0.9953  0.5457  0.2110  5 O 2.31-2.40
Ca  0.0119  0.5674  0.7171  5 O 2.27-2.43
Ag  0.9900  0.9996  0.4916  4 O 2.18-2.35
W  0.9980  0.9811  0.0020  6 O 1.90-2.05
O  0.7554  0.8313  0.1145  1 W 2.01, 1 Ag 2.18
O  0.2097  0.0638  0.8765  1 W 1.95
O  0.3617  0.4362  0.2468  1 W 1.92
O  0.4378  0.8247  0.6738  1 W 1.90
O  0.4960  0.0579  0.3232  1 W 1.96
O  0.6808  0.5063  0.8024  1 W 2.05, 1 Ag 2.18

two | Density functional theory data (GGA+U) for Ca2AgWO6 after structural relaxation.

* M_tot: 0.08 μB per atom
* SG: No. 14

Lattice parameters (Å, degrees): 5.9844 5.6622 9.5429 54.53 90.00 90.00
Closest atoms and distances in Å follow each position.
Element x y z (fractional)
Ca  0.0630  0.2689  0.7447  4 O 2.34-2.39
Ca  0.5630  0.7311  0.7553  4 O 2.34-2.39
Ca  0.9370  0.7311  0.2553  4 O 2.34-2.39
Ca  0.4370  0.2689  0.2447  4 O 2.34-2.39
Ag  0.0000  0.5000  0.0000  6 O 2.19-2.44
Ag  0.5000  0.5000  0.5000  6 O 2.19-2.44
W  0.0000  0.0000  0.5000  6 O 1.94-1.98
W  0.5000  0.0000  0.0000  6 O 1.94-1.98
O  0.2743  0.7755  0.5717  1 W 1.94
O  0.7743  0.2245  0.9283  1 W 1.94
O  0.7257  0.2245  0.4283  1 W 1.94
O  0.2257  0.7755  0.0717  1 W 1.94
O  0.1642  0.3376  0.4502  1 W 1.95
O  0.6642  0.6624  0.0498  1 W 1.95
O  0.8358  0.6624  0.5498  1 W 1.95
O  0.3358  0.3376  0.9502  1 W 1.95
O  0.4413  0.1182  0.7633  1 W 1.98, 1 Ag 2.19
O  0.9413  0.8818  0.7367  1 W 1.98, 1 Ag 2.19
O  0.0587  0.1182  0.2633  1 W 1.98, 1 Ag 2.19
O  0.5587  0.8818  0.2367  1 W 1.98, 1 Ag 2.19

So which one wins? Going from most stable to least: two, one.